# Mg2CuHg

A relaxed structure of Mg2CuHg (GGA-PBEsol, the Alexandria database).

CIF file:
```
data_Mg2CuHg
_symmetry_space_group_name_H-M 'C 1 m 1'
_symmetry_Int_Tables_number 8
_symmetry_space_group_name_Hall 'C -2y'
_cell_length_a 10.339
_cell_length_b 3.353
_cell_length_c 4.547
_cell_angle_alpha 90.00
_cell_angle_beta 116.01
_cell_angle_gamma 90.00
loop_
_atom_site_label
_atom_site_fract_x
_atom_site_fract_y
_atom_site_fract_z
_atom_site_occupancy
Mg1 0.000 0.000 0.000 1
Mg2 0.219 0.000 0.720 1
Cu1 0.231 0.500 0.232 1
Hg1 0.455 0.000 0.455 1
```

Energy of formation from the pure elements, meV/atom: -117
M_tot, μB per formula unit: 0.0

# MgCu2Hg

A relaxed structure of MgCu2Hg (GGA-PBEsol, the Alexandria database).

CIF file:
```
data_MgCu2Hg
_symmetry_space_group_name_H-M 'P 4/m m m'
_symmetry_Int_Tables_number 123
_symmetry_space_group_name_Hall '-P 4 2'
_cell_length_a 3.212
_cell_length_b 3.212
_cell_length_c 5.885
_cell_angle_alpha 90.00
_cell_angle_beta 90.00
_cell_angle_gamma 90.00
loop_
_atom_site_label
_atom_site_fract_x
_atom_site_fract_y
_atom_site_fract_z
_atom_site_occupancy
Mg1 0.000 0.000 0.000 1
Cu1 0.500 0.500 0.240 1
Hg1 0.000 0.000 0.500 1
```

Energy of formation from the pure elements, meV/atom: -3
M_tot, μB per formula unit: 0.0

# MgCu2Hg

A relaxed structure of MgCu2Hg (GGA-PBEsol, the Alexandria database).

CIF file:
```
data_MgCu2Hg
_symmetry_space_group_name_H-M 'P 4 m m'
_symmetry_Int_Tables_number 99
_symmetry_space_group_name_Hall 'P 4 -2'
_cell_length_a 3.154
_cell_length_b 3.154
_cell_length_c 6.154
_cell_angle_alpha 90.00
_cell_angle_beta 90.00
_cell_angle_gamma 90.00
loop_
_atom_site_label
_atom_site_fract_x
_atom_site_fract_y
_atom_site_fract_z
_atom_site_occupancy
Mg1 0.000 0.000 0.000 1
Cu1 0.000 0.000 0.432 1
Cu2 0.500 0.500 0.249 1
Hg1 0.500 0.500 0.696 1
```

Energy of formation from the pure elements, meV/atom: -44
M_tot, μB per formula unit: 0.0

# Mg2CuHg

A relaxed structure of Mg2CuHg (GGA-PBEsol, the Alexandria database).

CIF file:
```
data_Mg2CuHg
_symmetry_space_group_name_H-M 'C m m m'
_symmetry_Int_Tables_number 65
_symmetry_space_group_name_Hall '-C 2 2'
_cell_length_a 6.445
_cell_length_b 6.465
_cell_length_c 3.364
_cell_angle_alpha 90.00
_cell_angle_beta 90.00
_cell_angle_gamma 90.00
loop_
_atom_site_label
_atom_site_fract_x
_atom_site_fract_y
_atom_site_fract_z
_atom_site_occupancy
Mg1 0.250 0.250 0.000 1
Cu1 0.000 0.000 0.500 1
Hg1 0.000 0.500 0.500 1
```

Energy of formation from the pure elements, meV/atom: -144
M_tot, μB per formula unit: 0.0

# MgCu2Hg

A relaxed structure of MgCu2Hg (GGA-PBEsol, the Alexandria database).

CIF file:
```
data_MgCu2Hg
_symmetry_space_group_name_H-M 'P 4/m m m'
_symmetry_Int_Tables_number 123
_symmetry_space_group_name_Hall '-P 4 2'
_cell_length_a 4.062
_cell_length_b 4.062
_cell_length_c 3.663
_cell_angle_alpha 90.00
_cell_angle_beta 90.00
_cell_angle_gamma 90.00
loop_
_atom_site_label
_atom_site_fract_x
_atom_site_fract_y
_atom_site_fract_z
_atom_site_occupancy
Mg1 0.000 0.000 0.000 1
Cu1 0.000 0.500 0.500 1
Hg1 0.500 0.500 0.000 1
```

Energy of formation from the pure elements, meV/atom: -30
M_tot, μB per formula unit: 0.0

# Mg2CuHg

A relaxed structure of Mg2CuHg (GGA-PBEsol, the Alexandria database).

CIF file:
```
data_Mg2CuHg
_symmetry_space_group_name_H-M 'P 4/m m m'
_symmetry_Int_Tables_number 123
_symmetry_space_group_name_Hall '-P 4 2'
_cell_length_a 3.193
_cell_length_b 3.193
_cell_length_c 6.885
_cell_angle_alpha 90.00
_cell_angle_beta 90.00
_cell_angle_gamma 90.00
loop_
_atom_site_label
_atom_site_fract_x
_atom_site_fract_y
_atom_site_fract_z
_atom_site_occupancy
Mg1 0.000 0.000 0.220 1
Cu1 0.500 0.500 0.000 1
Hg1 0.500 0.500 0.500 1
```

Energy of formation from the pure elements, meV/atom: -168
M_tot, μB per formula unit: 0.0

# MnCu2Hg

A relaxed structure of MnCu2Hg (GGA-PBEsol, the Alexandria database).

CIF file:
```
data_MnCu2Hg
_symmetry_space_group_name_H-M 'P 4/m m m'
_symmetry_Int_Tables_number 123
_symmetry_space_group_name_Hall '-P 4 2'
_cell_length_a 3.907
_cell_length_b 3.907
_cell_length_c 3.732
_cell_angle_alpha 90.00
_cell_angle_beta 90.00
_cell_angle_gamma 90.00
loop_
_atom_site_label
_atom_site_fract_x
_atom_site_fract_y
_atom_site_fract_z
_atom_site_occupancy
Mn1 0.000 0.000 0.000 1
Cu1 0.000 0.500 0.500 1
Hg1 0.500 0.500 0.000 1
```

Energy of formation from the pure elements, meV/atom: 271
M_tot, μB per formula unit: 3.7

# MnCu2Hg

A relaxed structure of MnCu2Hg (GGA-PBEsol, the Alexandria database).

CIF file:
```
data_MnCu2Hg
_symmetry_space_group_name_H-M 'C 1 2/m 1'
_symmetry_Int_Tables_number 12
_symmetry_space_group_name_Hall '-C 2y'
_cell_length_a 8.638
_cell_length_b 2.902
_cell_length_c 4.668
_cell_angle_alpha 90.00
_cell_angle_beta 102.09
_cell_angle_gamma 90.00
loop_
_atom_site_label
_atom_site_fract_x
_atom_site_fract_y
_atom_site_fract_z
_atom_site_occupancy
Mn1 0.000 0.000 0.000 1
Cu1 0.244 0.500 0.221 1
Hg1 0.000 0.500 0.500 1
```

Energy of formation from the pure elements, meV/atom: 263
M_tot, μB per formula unit: 3.7